# NbCo2Br, optimized geometry, DFT PBE
data_NbCo2Br
_space_group_name_H-M_alt 'F m -3 m'
_space_group_IT_number 225
_space_group_name_Hall '-F 4 2 3'
_cell_length_a 6.192
_cell_length_b 6.192
_cell_length_c 6.192
_cell_angle_alpha 90.00
_cell_angle_beta 90.00
_cell_angle_gamma 90.00
loop_
_atom_site_label
_atom_site_type_symbol
_atom_site_fract_x
_atom_site_fract_y
_atom_site_fract_z
Nb1 Nb 0.000 0.000 0.000
Co1 Co 0.250 0.250 0.250
Br1 Br 0.000 0.000 0.500
# ΔE_f (raw): 0.785 eV/atom
# mass density: 8.13 g/cm3
# Fermi-level density of states: 0.4662 states/eV/atom
# energy above the most stable polymorph in this dataset: 0.082 eV/f.u.
# M_tot: 0.0 μB per cell

---

# Rb2Hg5Sb3, optimized geometry, DFT PBE
data_Rb2Hg5Sb3
_space_group_name_H-M_alt 'C 1 2/c 1'
_space_group_IT_number 15
_cell_length_a 16.459
_cell_length_b 11.894
_cell_length_c 7.377
_cell_angle_alpha 90.00
_cell_angle_beta 116.36
_cell_angle_gamma 90.00
loop_
_space_group_symop_operation_xyz
'x,y,z'
'-x,-y,-z'
'-x,y,-z+1/2'
'x,-y,z+1/2'
'x+1/2,y+1/2,z'
'-x+1/2,-y+1/2,-z'
'-x+1/2,y+1/2,-z+1/2'
'x+1/2,-y+1/2,z+1/2'
loop_
_atom_site_label
_atom_site_type_symbol
_atom_site_fract_x
_atom_site_fract_y
_atom_site_fract_z
Rb1 Rb 0.126 0.243 0.127
Hg1 Hg 0.000 0.002 0.250
Hg2 Hg 0.117 0.361 0.617
Hg3 Hg 0.238 0.499 0.988
Sb1 Sb 0.000 0.499 0.250
Sb2 Sb 0.131 0.121 0.631
# ΔE_f (raw): -0.185 eV/atom
# mass density: 7.90 g/cm3
# Fermi-level density of states: 0.3058 states/eV/atom
# M_tot: 0.0 μB per cell

---

> Which value of M_tot does entry 2 give?

0.0 μB per cell